LaTb2Sm6Ho3 GGA-PBE relaxed; raw total energy = -4.668 eV/atom; energy of formation = 0.0186 eV per atom
1.0
6.243 0.000 0.018
-3.121 5.408 0.018
-1.074 -1.859 11.736
Sm Ho La Tb
6 3 1 2
Direct
0.915 0.581 0.747 Sm
0.419 0.085 0.253 Sm
0.085 0.419 0.253 Sm
0.250 0.250 0.747 Sm
0.581 0.915 0.747 Sm
0.750 0.750 0.253 Sm
0.833 0.167 0.500 Ho
0.167 0.833 0.500 Ho
0.500 0.500 0.500 Ho
0.000 0.000 0.000 La
0.667 0.333 0.000 Tb
0.333 0.667 0.000 Tb



LaTbSm6Ho2 GGA-PBE relaxed; raw total energy = -4.583 eV/atom; energy of formation = 0.1199 eV per atom
1.0
-4.506 6.348 5.830
0.676 -6.271 6.286
7.060 5.260 -1.334
Sm La Ho Tb
12 2 4 2
Direct
0.621 0.491 0.706 Sm
0.056 0.113 0.758 Sm
0.121 0.706 0.491 Sm
0.319 0.978 0.432 Sm
0.444 0.242 0.887 Sm
0.944 0.887 0.242 Sm
0.556 0.758 0.113 Sm
0.181 0.568 0.022 Sm
0.681 0.022 0.568 Sm
0.879 0.294 0.509 Sm
0.819 0.432 0.978 Sm
0.379 0.509 0.294 Sm
0.750 0.594 0.406 La
0.250 0.406 0.594 La
0.546 0.195 0.293 Ho
0.046 0.293 0.195 Ho
0.454 0.805 0.707 Ho
0.954 0.707 0.805 Ho
0.250 0.970 0.030 Tb
0.750 0.030 0.970 Tb



La2TbSmHo2 GGA-PBE relaxed; raw total energy = -4.656 eV/atom; energy of formation = 0.0705 eV per atom
1.0
-5.161 -2.496 0.056
1.532 -3.304 -6.086
3.759 -7.660 5.105
La Tb Ho Sm
4 2 4 2
Direct
0.500 0.008 0.001 La
0.000 0.258 0.171 La
0.000 0.758 0.829 La
0.500 0.508 0.999 La
0.500 0.757 0.337 Tb
0.500 0.257 0.663 Tb
0.500 0.258 0.335 Ho
0.000 0.757 0.167 Ho
0.500 0.758 0.665 Ho
0.000 0.257 0.833 Ho
0.000 0.508 0.500 Sm
0.000 0.008 0.500 Sm



La2Tb2SmHo2 GGA-PBE relaxed; raw total energy = -4.684 eV/atom; energy of formation = 0.0288 eV per atom
1.0
5.115 0.000 0.000
-2.557 5.705 0.285
0.000 -1.554 7.951
Sm Tb La Ho
1 2 2 2
Direct
0.000 0.000 0.000 Sm
0.429 0.858 0.281 Tb
0.571 0.142 0.719 Tb
0.142 0.285 0.427 La
0.858 0.715 0.573 La
0.284 0.568 0.862 Ho
0.716 0.432 0.138 Ho